Density functional theory data (PBE) for crystalline Ge2Se at its relaxed geometry.

Calculated values
Raw formation energy: -28.6 meV per atom
Excess energy over the best structure of this formula in the dataset: 25.0 meV per atom
M_tot: 0.0000 μB per atom

a b c (Å): 3.8686 3.9008 9.0638
angles (deg): 79.56 77.79 89.95
With the nearest neighbours (Å) after each atom.
Positions (direct):
Ge1 0.0000 0.0000 0.0000  5 Ge 2.64-2.77
Ge2 0.1507 0.1523 0.6974  1 Ge 2.64, 4 Se 2.66-2.90
Ge3 0.4818 0.4855 0.0373  1 Se 2.56, 4 Ge 2.76-2.77
Ge4 0.8273 0.8533 0.3419  5 Se 2.69-2.79, 1 Ge 2.98
Se1 0.3351 0.3683 0.3314  5 Ge 2.56-2.79
Se2 0.6739 0.7164 0.6509  5 Ge 2.66-2.90